Below is a geometry-optimized PmTm5Tl6 structure, with properties calculated at the PBE level.

Geometry as CIF:
```
data_PmTm5Tl6
_chemical_formula_sum 'Pm2 Tm10 Tl12'
_symmetry_space_group_name_H-M 'C 1 2/m 1'
_symmetry_Int_Tables_number 12
_cell_length_a 9.873
_cell_length_b 11.184
_cell_length_c 6.419
_cell_angle_alpha 90.00
_cell_angle_beta 102.86
_cell_angle_gamma 90.00
loop_
_symmetry_equiv_pos_as_xyz
'x,y,z'
'-x,-y,-z'
'-x,y,-z'
'x,-y,z'
'x+1/2,y+1/2,z'
'-x+1/2,-y+1/2,-z'
'-x+1/2,y+1/2,-z'
'x+1/2,-y+1/2,z'
loop_
_atom_site_label
_atom_site_type_symbol
_atom_site_fract_x
_atom_site_fract_y
_atom_site_fract_z
_atom_site_occupancy
Pm1 Pm 0.000 0.000 0.000 1
Tm1 Tm 0.000 0.167 0.500 1
Tm2 Tm 0.000 0.336 0.000 1
Tm3 Tm 0.000 0.500 0.500 1
Tl1 Tl 0.248 0.329 0.746 1
Tl2 Tl 0.248 0.500 0.260 1
```

ΔE to the lowest computed polymorph = 0.071 eV/atom
DFT formation energy = -271 kJ/mol of formula units
total magnetic moment = 0.0 μB per formula unit
DOS(E_F) = 20.943 states/eV/cell